[1]
Below is crystalline DyZrZnCo2 at its relaxed geometry, with properties calculated at the PBE level.

Output
DFT formation energy in eV per atom: -0.29
Space-group type: Imm2, No. 44
Calculated volume in Å³ per cell: 84.2
VASP energy in eV per atom: -6.020

Cell lengths 5.135, 5.135, 5.135 Å; angles 133.57, 117.30, 81.50 degrees
Fractional coordinates of all 5 atoms:
Co 0.787 0.503 0.285
Co 0.218 0.503 0.715
Dy 0.791 0.791 0.000
Zn 0.494 0.994 0.500
Zr 0.209 0.209 0.000


[2]
Below is crystalline DyZrCo at its relaxed geometry, with properties calculated at the PBE level.

Output
DFT formation energy in eV per atom: 0.73
Space-group type: F-43m, No. 216
Calculated volume in Å³ per cell: 64.9
VASP energy in eV per atom: -6.026

Cell lengths 4.511, 4.511, 4.511 Å; angles 60.00, 60.00, 60.00 degrees
Fractional coordinates of all 3 atoms:
Co 0.250 0.250 0.250
Dy 0.750 0.750 0.750
Zr 0.000 0.000 0.000


[3]
Below is crystalline Er3Co at its relaxed geometry, with properties calculated at the PBE level.

Output
DFT formation energy in eV per atom: 0.28
Space-group type: I4/mmm, No. 139
Calculated volume in Å³ per cell: 95.6
VASP energy in eV per atom: -4.919

Cell lengths 5.929, 5.929, 5.929 Å; angles 137.03, 137.03, 62.40 degrees
Fractional coordinates of all 4 atoms:
Co 0.000 0.000 0.000
Er 0.500 0.500 0.000
Er 0.750 0.250 0.500
Er 0.250 0.750 0.500


[4]
Below is crystalline ErCo3 at its relaxed geometry, with properties calculated at the PBE level.

Output
DFT formation energy in eV per atom: -0.20
Space-group type: R-3m, No. 166
Calculated volume in Å³ per cell: 168.2
VASP energy in eV per atom: -6.673

Cell lengths 4.913, 4.913, 8.532 Å; angles 73.27, 106.73, 120.00 degrees
Each line ends with the local moment (μB).
Fractional coordinates of all 12 atoms:
Co 0.334 0.666 0.002  1.46
Co 0.080 0.417 0.245  1.23
Co 0.583 0.417 0.245  1.28
Co 0.583 0.920 0.245  1.33
Co 0.500 0.500 0.500  1.20
Co 0.417 0.080 0.755  1.33
Co 0.417 0.583 0.755  1.28
Co 0.920 0.583 0.755  1.23
Co 0.666 0.334 0.998  1.46
Er 0.000 0.000 0.000  -0.33
Er 0.140 0.860 0.420  -0.42
Er 0.860 0.140 0.580  -0.42